First-principles (PBE) data for an optimized crystal structure of Rb2CuHF6, as listed in Alexandria via LeMat-Bulk.

Results
Fermi-level density of states: 0.351 states/eV per atom
Uncorrected energy: -79.2 eV for the cell shown

abc: 5.511 5.511 11.435
angles: 76.05 76.05 60.00
Site moments in Bohr magnetons follow the coordinates.
Fractional coordinates of all 20 atoms:
F (0.627, 0.627, 0.599)  0.10
Rb (0.273, 0.273, 0.182)  0.00
H (0.635, 0.635, 0.095)  0.00
F (0.663, 0.218, 0.902)  0.09
F (0.337, 0.782, 0.098)  0.09
F (0.218, 0.218, 0.902)  0.09
Rb (0.727, 0.727, 0.818)  0.00
Cu (0.000, 0.000, 0.000)  0.85
F (0.627, 0.146, 0.599)  0.10
F (0.854, 0.373, 0.401)  0.10
H (0.365, 0.365, 0.905)  0.00
F (0.373, 0.373, 0.401)  0.10
F (0.782, 0.782, 0.098)  0.09
F (0.782, 0.337, 0.098)  0.09
F (0.218, 0.663, 0.902)  0.09
F (0.146, 0.627, 0.599)  0.10
F (0.373, 0.854, 0.401)  0.10
Cu (0.500, 0.500, 0.500)  0.71
Rb (0.123, 0.123, 0.630)  0.00
Rb (0.877, 0.877, 0.370)  0.00